Entry 1:
First-principles (PBE) data for La3NdN4 after structural relaxation, as listed in the Alexandria database.

a b c (Å): 5.2706 5.2706 5.2706
angles (deg): 90.00 90.00 90.00
Sites, in units of the cell vectors:
La 0.0000 0.0000 0.5000
La 0.0000 0.5000 0.0000
La 0.5000 0.0000 0.0000
Nd 0.5000 0.5000 0.5000
N 0.0000 0.0000 0.0000
N 0.0000 0.5000 0.5000
N 0.5000 0.0000 0.5000
N 0.5000 0.5000 0.0000

* polymorph energy (0 for the lowest one): 0.03 eV per formula unit

---

Entry 2:
First-principles (PBE) data for LaNd4N4 after structural relaxation, as listed in the Alexandria database.

a b c (Å): 6.3869 6.3869 6.3869
angles (deg): 99.44 99.44 132.23
Sites, in units of the cell vectors:
La 0.0000 0.0000 0.0000
Nd 0.1849 0.3902 0.5751
Nd 0.3902 0.8151 0.2053
Nd 0.6098 0.1849 0.7947
Nd 0.8151 0.6098 0.4249
N 0.0958 0.7003 0.7961
N 0.2997 0.0958 0.3955
N 0.7003 0.9042 0.6045
N 0.9042 0.2997 0.2039

* polymorph energy (0 for the lowest one): 0.00 eV per formula unit

---

Entry 3:
First-principles (PBE) data for La5NdN5 after structural relaxation, as listed in the Alexandria database.

a b c (Å): 6.4327 6.4327 7.4359
angles (deg): 106.74 106.74 48.57
Sites, in units of the cell vectors:
La 0.0000 0.0000 0.0000
La 0.3280 0.3280 0.1732
La 0.3294 0.3294 0.6545
La 0.6706 0.6706 0.3455
La 0.6720 0.6720 0.8268
Nd 0.0000 0.0000 0.5000
N 0.1620 0.1620 0.8349
N 0.1712 0.1712 0.3365
N 0.5000 0.5000 0.5000
N 0.8288 0.8288 0.6635
N 0.8380 0.8380 0.1651

* VASP energy: -84.406 eV per formula unit

---

Entry 4:
First-principles (PBE) data for LaNd2N3 after structural relaxation, as listed in the Alexandria database.

a b c (Å): 6.3840 6.3840 6.3861
angles (deg): 99.58 99.58 120.00
Sites, in units of the cell vectors:
La 0.1669 0.8331 0.0000
La 0.8331 0.1669 0.0000
Nd 0.0000 0.0000 0.5000
Nd 0.3343 0.6657 0.5000
Nd 0.5000 0.5000 0.0000
Nd 0.6657 0.3343 0.5000
N 0.0857 0.4160 0.7478
N 0.2543 0.2543 0.2535
N 0.4160 0.0857 0.7478
N 0.5840 0.9143 0.2522
N 0.7457 0.7457 0.7465
N 0.9143 0.5840 0.2522

* VASP energy: -47.495 eV per formula unit

---

Entry 5:
First-principles (PBE) data for LaNd5N4 after structural relaxation, as listed in the Alexandria database.

a b c (Å): 8.2181 8.2181 7.5579
angles (deg): 102.61 102.61 25.61
Sites, in units of the cell vectors:
La 0.0000 0.0000 0.0000
Nd 0.0000 0.0000 0.5000
Nd 0.3347 0.3347 0.1490
Nd 0.3402 0.3402 0.6948
Nd 0.6598 0.6598 0.3052
Nd 0.6653 0.6653 0.8510
N 0.1696 0.1696 0.0849
N 0.4963 0.4963 0.7415
N 0.5037 0.5037 0.2585
N 0.8304 0.8304 0.9151

* VASP energy: -72.664 eV per formula unit

---

Entry 6:
First-principles (PBE) data for LaNdNpN3 after structural relaxation, as listed in the Alexandria database.

a b c (Å): 7.5539 3.7112 8.5964
angles (deg): 90.00 97.15 90.00
Sites, in units of the cell vectors:
La 0.1641 0.2500 0.1383
La 0.8359 0.7500 0.8617
Nd 0.3771 0.7500 0.8396
Nd 0.6229 0.2500 0.1604
Np 0.0582 0.2500 0.5871
Np 0.9418 0.7500 0.4129
N 0.1036 0.2500 0.8429
N 0.2112 0.7500 0.5728
N 0.3849 0.7500 0.1196
N 0.6152 0.2500 0.8804
N 0.7888 0.2500 0.4272
N 0.8964 0.7500 0.1571

* VASP energy: -53.494 eV per formula unit